No. 1
A plane-wave DFT calculation with GGA-PBE was carried out for CsRbSeBr after structural relaxation.

Summary:
Spin magnetization in μB/atom: 0.251
Symmetry: F-43m
Total DFT energy (no corrections) in eV per atom: -2.7983
Uncorrected formation energy in eV/f.u.: -4.21

Cell: 8.622 8.622 8.622 Å, 90.00 90.00 90.00°
Atoms (fractional coordinates):
Cs  0.000  0.000  0.000
Cs  0.000  0.500  0.500
Cs  0.500  0.000  0.500
Cs  0.500  0.500  0.000
Rb  0.000  0.000  0.500
Rb  0.000  0.500  0.000
Rb  0.500  0.000  0.000
Rb  0.500  0.500  0.500
Se  0.250  0.250  0.750
Se  0.250  0.750  0.250
Se  0.750  0.250  0.250
Se  0.750  0.750  0.750
Br  0.250  0.250  0.250
Br  0.250  0.750  0.750
Br  0.750  0.250  0.750
Br  0.750  0.750  0.250

No. 2
A plane-wave DFT calculation with GGA-PBE was carried out for La2Mg6Cd3 after structural relaxation.

Summary:
Spin magnetization in μB/atom: 0.000
Formation energy in meV per atom: -136
Symmetry: P-62m
Total DFT energy (no corrections) in eV per atom: -2.1511

Cell: 8.466 8.466 4.709 Å, 90.00 90.00 120.00°
Atoms (fractional coordinates):
La  0.333  0.667  0.000
La  0.667  0.333  0.000
Mg  0.000  0.267  0.500
Mg  0.000  0.794  0.000
Mg  0.206  0.206  0.000
Mg  0.267  0.000  0.500
Mg  0.733  0.733  0.500
Mg  0.794  0.000  0.000
Cd  0.000  0.599  0.500
Cd  0.401  0.401  0.500
Cd  0.599  0.000  0.500

No. 3
A plane-wave DFT calculation with GGA-PBE was carried out for LaHf2Nb after structural relaxation.

Summary:
Spin magnetization in μB/atom: 0.000
Formation energy in meV per atom: 146
Symmetry: P4/mmm
Total DFT energy (no corrections) in eV per atom: -8.5795

Cell: 3.507 3.507 7.913 Å, 90.00 90.00 90.00°
Atoms (fractional coordinates):
La  0.000  0.000  0.000
Hf  0.500  0.500  0.303
Hf  0.500  0.500  0.697
Nb  0.000  0.000  0.500

Question: Among the records above, which one has the highest total DFT energy (no corrections)?
Answer: La2Mg6Cd3